The following is a DFT calculation (PBE) of a geometry-optimized SrTl3H structure.

a = 5.0755 Å, b = 5.0755 Å, c = 5.0755 Å
α = 90.00°, β = 90.00°, γ = 90.00°
With the nearest neighbours (Å) after each atom.
Atoms (fractional coordinates):
1 H 0.0000 0.0000 0.0000  6 Tl 2.54
2 Tl 0.0000 0.0000 0.5000  2 H 2.54
3 Tl 0.0000 0.5000 0.0000  2 H 2.54
4 Sr 0.5000 0.5000 0.5000  12 Tl 3.59
5 Tl 0.5000 0.0000 0.0000  2 H 2.54

Output
Energy (eV per atom): -2.403

=====

The following is a DFT calculation (PBE) of a geometry-optimized Zr2MnCr structure.

a = 3.7281 Å, b = 3.1397 Å, c = 6.1400 Å
α = 73.92°, β = 90.00°, γ = 90.00°
With the nearest neighbours (Å) after each atom.
Atoms (fractional coordinates):
1 Cr 0.0000 0.5859 0.5406  2 Mn 2.19
2 Zr 0.0000 0.9628 0.9533  4 Mn 2.71-2.96, 1 Cr 2.74
3 Zr 0.5000 0.2844 0.2954  4 Cr 2.73-2.95, 1 Mn 2.74
4 Mn 0.5000 0.6670 0.7108  2 Cr 2.19

Output
Energy (eV per atom): -8.803

=====

The following is a DFT calculation (PBE) of a geometry-optimized PaGaReRh structure.

a = 4.6550 Å, b = 4.6550 Å, c = 4.6550 Å
α = 60.00°, β = 60.00°, γ = 60.00°
With the nearest neighbours (Å) after each atom.
Atoms (fractional coordinates):
1 Pa 0.2500 0.2500 0.2500  4 Re 2.85, 4 Rh 2.85
2 Rh 0.5000 0.5000 0.5000  4 Pa 2.85, 4 Ga 2.85
3 Ga 0.7500 0.7500 0.7500  4 Re 2.85, 4 Rh 2.85
4 Re 0.0000 0.0000 0.0000  4 Pa 2.85, 4 Ga 2.85

Output
Energy (eV per atom): -8.364

=====

The following is a DFT calculation (PBE) of a geometry-optimized Pr2Zn3Ag2 structure.

a = 4.6742 Å, b = 5.7010 Å, c = 6.7907 Å
α = 110.66°, β = 90.00°, γ = 114.20°
With the nearest neighbours (Å) after each atom.
Atoms (fractional coordinates):
1 Zn 0.5000 0.0000 0.0000  2 Zn 2.61, 4 Ag 2.90
2 Ag 0.8568 0.7136 0.7639  5 Zn 2.78-2.90, 1 Pr 3.09
3 Pr 0.1540 0.3079 0.7633  4 Ag 3.09-3.26, 6 Zn 3.20-3.34
4 Pr 0.8460 0.6921 0.2367  4 Ag 3.09-3.26, 6 Zn 3.20-3.34
5 Zn 0.4064 0.8129 0.5836  2 Zn 2.61, 3 Ag 2.78-2.84
6 Zn 0.5936 0.1871 0.4164  2 Zn 2.61, 3 Ag 2.78-2.84
7 Ag 0.1432 0.2864 0.2361  5 Zn 2.78-2.90, 1 Pr 3.09

Output
Energy (eV per atom): -3.015

=====

The following is a DFT calculation (PBE) of a geometry-optimized Sm2YRh9 structure.

a = 5.2814 Å, b = 5.2814 Å, c = 9.3570 Å
α = 73.61°, β = 73.61°, γ = 60.00°
With the nearest neighbours (Å) after each atom.
Atoms (fractional coordinates):
1 Sm 0.1387 0.1387 0.5840  12 Rh 3.04-3.37, 3 Sm 3.39
2 Y 0.0000 0.0000 0.0000  6 Rh 3.05
3 Rh 0.3329 0.3329 0.0014  6 Rh 2.64-2.66
4 Rh 0.5815 0.5815 0.7550  7 Rh 2.64-2.72
5 Rh 0.0821 0.5815 0.7550  7 Rh 2.64-2.72
6 Rh 0.4185 0.4185 0.2450  7 Rh 2.64-2.72
7 Rh 0.9179 0.4185 0.2450  7 Rh 2.64-2.72
8 Sm 0.8613 0.8613 0.4160  12 Rh 3.04-3.37, 3 Sm 3.39
9 Rh 0.6671 0.6671 0.9986  6 Rh 2.64-2.66
10 Rh 0.4185 0.9179 0.2450  7 Rh 2.64-2.72
11 Rh 0.5815 0.0821 0.7550  7 Rh 2.64-2.72
12 Rh 0.5000 0.5000 0.5000  6 Rh 2.72

Output
Energy (eV per atom): -7.372

=====

The following is a DFT calculation (PBE) of a geometry-optimized Pm6Ge2S3Cl structure.

a = 4.1279 Å, b = 8.3160 Å, c = 9.2319 Å
α = 102.40°, β = 102.92°, γ = 90.00°
With the nearest neighbours (Å) after each atom.
Atoms (fractional coordinates):
1 Pm 0.9985 0.7259 0.9970  3 S 2.80-2.91, 1 Ge 2.87, 2 Cl 3.07
2 S 0.5000 0.5000 0.0000  6 Pm 2.80-2.92
3 S 0.8363 0.1633 0.6726  6 Pm 2.85-2.95
4 Cl 0.5000 0.0000 0.0000  6 Pm 3.05-3.07
5 Ge 0.1649 0.3300 0.3298  6 Pm 2.87-2.96
6 S 0.1637 0.8367 0.3274  6 Pm 2.85-2.95
7 Pm 0.6738 0.0901 0.3476  3 S 2.85-2.93, 2 Ge 2.90, 1 Cl 3.05
8 Pm 0.0015 0.2741 0.0030  3 S 2.80-2.91, 1 Ge 2.87, 2 Cl 3.07
9 Pm 0.3262 0.9099 0.6524  3 S 2.85-2.93, 2 Ge 2.90, 1 Cl 3.05
10 Ge 0.8351 0.6700 0.6702  6 Pm 2.87-2.96
11 Pm 0.6666 0.5847 0.3331  3 S 2.92-2.95, 3 Ge 2.95-2.96
12 Pm 0.3334 0.4153 0.6669  3 S 2.92-2.95, 3 Ge 2.95-2.96

Output
Energy (eV per atom): -5.922
Formation energy (no corrections) (meV per atom): -1591

=====

The following is a DFT calculation (PBE) of a geometry-optimized Nd8ZnTe4Se3 structure.

a = 8.6719 Å, b = 8.8387 Å, c = 8.6730 Å
α = 119.39°, β = 120.00°, γ = 90.00°
With the nearest neighbours (Å) after each atom.
Atoms (fractional coordinates):
1 Te 0.5000 0.0000 0.5000  6 Nd 3.19-3.22
2 Te 0.5000 0.0000 0.0000  6 Nd 3.21
3 Se 0.0000 0.5000 0.5000  6 Nd 2.98-3.01
4 Te 0.0000 0.0000 0.0000  6 Nd 3.19-3.22
5 Nd 0.7404 0.7214 0.4808  3 Se 2.98, 3 Te 3.22
6 Se 0.5000 0.5000 0.5000  6 Nd 2.98-3.01
7 Nd 0.2408 0.7265 0.4817  1 Zn 2.98, 2 Se 3.01, 3 Te 3.19-3.21
8 Nd 0.2596 0.2786 0.5192  3 Se 2.98, 3 Te 3.22
9 Nd 0.7448 0.7266 0.9857  1 Zn 2.98, 2 Se 3.01, 3 Te 3.19-3.21
10 Nd 0.7592 0.2735 0.5183  1 Zn 2.98, 2 Se 3.01, 3 Te 3.19-3.21
11 Nd 0.2409 0.7266 0.9857  1 Zn 2.98, 2 Se 3.01, 3 Te 3.19-3.21
12 Se 0.5000 0.5000 0.0000  6 Nd 2.98-3.01
13 Te 0.0000 0.0000 0.5000  6 Nd 3.19-3.22
14 Zn 0.0000 0.5000 0.0000  6 Nd 2.98
15 Nd 0.2552 0.2734 0.0143  1 Zn 2.98, 2 Se 3.01, 3 Te 3.19-3.21
16 Nd 0.7591 0.2734 0.0143  1 Zn 2.98, 2 Se 3.01, 3 Te 3.19-3.21

Output
Energy (eV per atom): -5.359
Formation energy (no corrections) (meV per atom): -1456

=====

The following is a DFT calculation (PBE) of a geometry-optimized TcRu2I structure.

a = 5.7769 Å, b = 5.7769 Å, c = 6.9723 Å
α = 65.53°, β = 65.53°, γ = 90.00°
With the nearest neighbours (Å) after each atom.
Atoms (fractional coordinates):
1 Ru 0.3750 0.4125 0.7500  2 Tc 2.36, 2 I 2.62
2 I 0.0000 0.0000 0.0000  4 Ru 2.62
3 Tc 0.5000 0.5000 0.0000  4 Ru 2.36
4 Ru 0.5875 0.1250 0.2500  2 Tc 2.36, 2 I 2.62
5 Tc 0.2500 0.7500 0.5000  4 Ru 2.36
6 Ru 0.1625 0.6250 0.2500  2 Tc 2.36, 2 I 2.62
7 I 0.7500 0.2500 0.5000  4 Ru 2.62
8 Ru 0.8750 0.8375 0.7500  2 Tc 2.36, 2 I 2.62

Output
Energy (eV per atom): -6.581
Formation energy (no corrections) (meV per atom): 1036

=====

The following is a DFT calculation (PBE) of a geometry-optimized PmNp2Si6 structure.

a = 3.9116 Å, b = 7.0500 Å, c = 7.0500 Å
α = 120.00°, β = 90.00°, γ = 90.00°
With the nearest neighbours (Å) after each atom.
Atoms (fractional coordinates):
1 Si 0.5000 0.3357 0.0000  3 Si 2.32-2.37
2 Si 0.5000 0.3357 0.3357  3 Si 2.32-2.37
3 Si 0.5000 0.0000 0.3357  3 Si 2.32-2.37
4 Si 0.5000 0.6643 0.6643  3 Si 2.32-2.37
5 Si 0.5000 0.0000 0.6643  3 Si 2.32-2.37
6 Np 0.0000 0.3333 0.6667  12 Si 3.05
7 Np 0.0000 0.6667 0.3333  12 Si 3.05
8 Si 0.5000 0.6643 0.0000  3 Si 2.32-2.37
9 Pm 0.0000 0.0000 0.0000  12 Si 3.07

Output
Energy (eV per atom): -7.382
Formation energy (no corrections) (meV per atom): -364

=====

The following is a DFT calculation (PBE) of a geometry-optimized AcCe2Mg9 structure.

a = 6.1064 Å, b = 6.1064 Å, c = 10.6222 Å
α = 73.30°, β = 73.30°, γ = 60.00°
With the nearest neighbours (Å) after each atom.
Atoms (fractional coordinates):
1 Mg 0.0809 0.5859 0.7473  7 Mg 3.02-3.10
2 Mg 0.5000 0.5000 0.5000  6 Mg 3.05
3 Ce 0.8516 0.8516 0.4453  12 Mg 3.49-3.61, 3 Ce 3.69
4 Mg 0.5859 0.5859 0.7473  7 Mg 3.02-3.10
5 Mg 0.3343 0.3343 0.9971  6 Mg 3.07-3.10
6 Mg 0.4141 0.4141 0.2527  7 Mg 3.02-3.10
7 Mg 0.9191 0.4141 0.2527  7 Mg 3.02-3.10
8 Mg 0.6657 0.6657 0.0029  6 Mg 3.07-3.10
9 Ce 0.1484 0.1484 0.5547  12 Mg 3.49-3.61, 3 Ce 3.69
10 Mg 0.4141 0.9191 0.2527  7 Mg 3.02-3.10
11 Mg 0.5859 0.0809 0.7473  7 Mg 3.02-3.10
12 Ac 0.0000 0.0000 0.0000  6 Mg 3.53

Output
Energy (eV per atom): -2.553

=====

The following is a DFT calculation (PBE) of a geometry-optimized VZnMo3 structure.

a = 4.5203 Å, b = 4.5203 Å, c = 4.5203 Å
α = 90.00°, β = 90.00°, γ = 90.00°
With the nearest neighbours (Å) after each atom.
Atoms (fractional coordinates):
1 Mo 0.0000 0.0000 0.5000  2 V 2.26
2 V 0.0000 0.0000 0.0000  6 Mo 2.26
3 Mo 0.5000 0.0000 0.0000  2 V 2.26
4 Mo 0.0000 0.5000 0.0000  2 V 2.26
5 Zn 0.5000 0.5000 0.5000  12 Mo 3.20

Output
Energy (eV per atom): -7.292

=====

The following is a DFT calculation (PBE) of a geometry-optimized BaFe3Bi structure.

a = 4.8235 Å, b = 4.8235 Å, c = 4.8235 Å
α = 90.00°, β = 90.00°, γ = 90.00°
With the nearest neighbours (Å) after each atom.
Atoms (fractional coordinates):
1 Fe 0.0000 0.0000 0.5000  2 Ba 2.41
2 Fe 0.5000 0.0000 0.0000  2 Ba 2.41
3 Fe 0.0000 0.5000 0.0000  2 Ba 2.41
4 Ba 0.0000 0.0000 0.0000  6 Fe 2.41
5 Bi 0.5000 0.5000 0.5000  12 Fe 3.41

Output
Energy (eV per atom): -3.833